(1)
{
  "formula": "GdIF2",
  "functional": "GGA-PBE",
  "state": "relaxed",
  "energy_ev_per_atom": -7.842,
  "dos_at_fermi_per_ev_cell": 0.5,
  "mass_density_g_cm3": 6.66,
  "lattice_angstrom": [[2.021, 1.167, 5.677], [-2.021, 1.167, 5.677], [0.000, -2.333, 5.677]],
  "species": ["Gd", "I", "F", "F"],
  "frac_coords": [[0.000, 0.000, 0.000], [0.500, 0.500, 0.500], [0.306, 0.306, 0.306], [0.694, 0.694, 0.694]]
}

=====

(2)
{
  "formula": "GdIF",
  "functional": "GGA-PBE",
  "state": "relaxed",
  "energy_ev_per_atom": -8.072,
  "dos_at_fermi_per_ev_cell": 3.7,
  "mass_density_g_cm3": 7.13,
  "lattice_angstrom": [[4.154, 0.000, 0.000], [-2.077, 3.597, 0.000], [0.000, 0.000, 4.726]],
  "species": ["Gd", "I", "F"],
  "frac_coords": [[0.000, 0.000, 0.000], [0.333, 0.667, 0.499], [0.667, 0.333, 0.999]]
}

=====

(3)
{
  "formula": "Gd3In5F12",
  "functional": "GGA-PBE",
  "state": "relaxed",
  "energy_ev_per_atom": -6.453,
  "dos_at_fermi_per_ev_cell": 58.8,
  "mass_density_g_cm3": 5.24,
  "lattice_angstrom": [[-7.392, 7.392, 7.392], [7.392, -7.392, 7.392], [7.392, 7.392, -7.392]],
  "species": ["Gd", "Gd", "Gd", "Gd", "Gd", "Gd", "Gd", "Gd", "Gd", "Gd", "Gd", "Gd", "In", "In", "In", "In", "In", "In", "In", "In", "In", "In", "In", "In", "In", "In", "In", "In", "In", "In", "In", "In", "F", "F", "F", "F", "F", "F", "F", "F", "F", "F", "F", "F", "F", "F", "F", "F", "F", "F", "F", "F", "F", "F", "F", "F", "F", "F", "F", "F", "F", "F", "F", "F", "F", "F", "F", "F", "F", "F", "F", "F", "F", "F", "F", "F", "F", "F", "F", "F"],
  "frac_coords": [[0.125, 0.250, 0.375], [0.125, 0.375, 0.750], [0.250, 0.375, 0.125], [0.250, 0.875, 0.625], [0.375, 0.125, 0.250], [0.375, 0.750, 0.125], [0.625, 0.250, 0.875], [0.625, 0.875, 0.750], [0.750, 0.125, 0.375], [0.750, 0.625, 0.875], [0.875, 0.625, 0.250], [0.875, 0.750, 0.625], [0.000, 0.000, 0.000], [0.000, 0.000, 0.500], [0.000, 0.500, 0.000], [0.000, 0.500, 0.500], [0.125, 0.750, 0.875], [0.125, 0.875, 0.250], [0.250, 0.125, 0.875], [0.250, 0.625, 0.375], [0.375, 0.250, 0.625], [0.375, 0.625, 0.750], [0.500, 0.000, 0.000], [0.500, 0.000, 0.500], [0.500, 0.500, 0.000], [0.500, 0.500, 0.500], [0.625, 0.375, 0.250], [0.625, 0.750, 0.375], [0.750, 0.375, 0.625], [0.750, 0.875, 0.125], [0.875, 0.125, 0.750], [0.875, 0.250, 0.125], [0.048, 0.631, 0.383], [0.048, 0.917, 0.665], [0.083, 0.248, 0.131], [0.083, 0.335, 0.952], [0.117, 0.748, 0.665], [0.117, 0.869, 0.452], [0.131, 0.083, 0.248], [0.131, 0.548, 0.883], [0.165, 0.248, 0.617], [0.165, 0.417, 0.548], [0.248, 0.131, 0.083], [0.248, 0.617, 0.165], [0.252, 0.335, 0.883], [0.252, 0.417, 0.369], [0.335, 0.883, 0.252], [0.335, 0.952, 0.083], [0.369, 0.252, 0.417], [0.369, 0.617, 0.952], [0.383, 0.048, 0.631], [0.383, 0.835, 0.752], [0.417, 0.369, 0.252], [0.417, 0.548, 0.165], [0.452, 0.117, 0.869], [0.452, 0.835, 0.583], [0.548, 0.165, 0.417], [0.548, 0.883, 0.131], [0.583, 0.452, 0.835], [0.583, 0.631, 0.748], [0.617, 0.165, 0.248], [0.617, 0.952, 0.369], [0.631, 0.383, 0.048], [0.631, 0.748, 0.583], [0.665, 0.048, 0.917], [0.665, 0.117, 0.748], [0.748, 0.583, 0.631], [0.748, 0.665, 0.117], [0.752, 0.383, 0.835], [0.752, 0.869, 0.917], [0.835, 0.583, 0.452], [0.835, 0.752, 0.383], [0.869, 0.452, 0.117], [0.869, 0.917, 0.752], [0.883, 0.131, 0.548], [0.883, 0.252, 0.335], [0.917, 0.665, 0.048], [0.917, 0.752, 0.869], [0.952, 0.083, 0.335], [0.952, 0.369, 0.617]]
}

=====

(4)
{
  "formula": "GdInF2",
  "functional": "GGA-PBE",
  "state": "relaxed",
  "energy_ev_per_atom": -7.127,
  "dos_at_fermi_per_ev_cell": 2.1,
  "mass_density_g_cm3": 5.34,
  "lattice_angstrom": [[1.820, 1.051, 8.407], [-1.820, 1.051, 8.407], [0.000, -2.101, 8.407]],
  "species": ["Gd", "In", "F", "F"],
  "frac_coords": [[0.000, 0.000, 0.000], [0.500, 0.500, 0.500], [0.086, 0.086, 0.086], [0.914, 0.914, 0.914]]
}

=====

(5)
{
  "formula": "Gd2IrF",
  "functional": "GGA-PBE",
  "state": "relaxed",
  "energy_ev_per_atom": -11.455,
  "dos_at_fermi_per_ev_cell": 1.9,
  "mass_density_g_cm3": 7.81,
  "lattice_angstrom": [[2.093, 1.208, 7.373], [-2.093, 1.208, 7.373], [0.000, -2.416, 7.373]],
  "species": ["Gd", "Gd", "Ir", "F"],
  "frac_coords": [[0.102, 0.102, 0.102], [0.898, 0.898, 0.898], [0.500, 0.500, 0.500], [0.000, 0.000, 0.000]]
}

=====

(6)
{
  "formula": "KGdF2",
  "functional": "GGA-PBE",
  "state": "relaxed",
  "energy_ev_per_atom": -6.791,
  "de_polymorph_mev_per_atom": 488,
  "dos_at_fermi_per_ev_cell": 3.7,
  "mass_density_g_cm3": 5.37,
  "lattice_angstrom": [[3.131, 0.000, 0.000], [0.000, 3.131, 0.000], [0.000, 0.000, 7.395]],
  "species": ["K", "Gd", "F", "F"],
  "frac_coords": [[0.000, 0.000, 0.000], [0.000, 0.000, 0.500], [0.500, 0.500, 0.221], [0.500, 0.500, 0.779]]
}

=====

(7)
{
  "formula": "KGdF2",
  "functional": "GGA-PBE",
  "state": "relaxed",
  "energy_ev_per_atom": -7.278,
  "de_polymorph_mev_per_atom": 0,
  "dos_at_fermi_per_ev_cell": 4.0,
  "mass_density_g_cm3": 3.77,
  "lattice_angstrom": [[2.039, 1.177, 7.168], [-2.039, 1.177, 7.168], [0.000, -2.354, 7.168]],
  "species": ["K", "Gd", "F", "F"],
  "frac_coords": [[0.000, 0.000, 0.000], [0.500, 0.500, 0.500], [0.140, 0.140, 0.140], [0.860, 0.860, 0.860]]
}

=====

(8)
{
  "formula": "K3GdF6",
  "functional": "GGA-PBE",
  "state": "relaxed",
  "energy_ev_per_atom": -6.175,
  "dos_at_fermi_per_ev_cell": 0.0,
  "mass_density_g_cm3": 3.26,
  "lattice_angstrom": [[6.437, 0.000, 0.000], [0.000, 6.681, 0.000], [-6.269, 0.000, 9.209]],
  "species": ["K", "K", "K", "K", "K", "K", "Gd", "Gd", "F", "F", "F", "F", "F", "F", "F", "F", "F", "F", "F", "F"],
  "frac_coords": [[0.000, 0.000, 0.000], [0.000, 0.500, 0.500], [0.224, 0.052, 0.742], [0.224, 0.448, 0.242], [0.776, 0.552, 0.758], [0.776, 0.948, 0.258], [0.500, 0.000, 0.500], [0.500, 0.500, 0.000], [0.167, 0.179, 0.449], [0.167, 0.321, 0.949], [0.250, 0.729, 0.422], [0.250, 0.771, 0.922], [0.397, 0.066, 0.275], [0.397, 0.434, 0.775], [0.603, 0.566, 0.225], [0.603, 0.934, 0.725], [0.750, 0.229, 0.078], [0.750, 0.271, 0.578], [0.833, 0.679, 0.051], [0.833, 0.821, 0.551]]
}

=====

(9)
{
  "formula": "K9Gd3Si12O32F2",
  "functional": "GGA-PBE",
  "state": "relaxed",
  "energy_ev_per_atom": -7.614,
  "dos_at_fermi_per_ev_cell": 0.0,
  "mass_density_g_cm3": 3.09,
  "lattice_angstrom": [[6.965, 0.000, 0.000], [1.940, 11.386, 0.000], [0.057, 0.439, 11.581]],
  "species": ["K", "K", "K", "K", "K", "K", "K", "K", "K", "Gd", "Gd", "Gd", "Si", "Si", "Si", "Si", "Si", "Si", "Si", "Si", "Si", "Si", "Si", "Si", "O", "O", "O", "O", "O", "O", "O", "O", "O", "O", "O", "O", "O", "O", "O", "O", "O", "O", "O", "O", "O", "O", "O", "O", "O", "O", "O", "O", "O", "O", "O", "O", "F", "F"],
  "frac_coords": [[0.000, 0.000, 0.000], [0.228, 0.384, 0.982], [0.331, 0.192, 0.222], [0.337, 0.151, 0.787], [0.483, 0.669, 0.491], [0.517, 0.331, 0.509], [0.663, 0.849, 0.213], [0.669, 0.808, 0.778], [0.772, 0.616, 0.018], [0.013, 0.511, 0.664], [0.500, 0.000, 0.500], [0.987, 0.489, 0.336], [0.056, 0.232, 0.511], [0.156, 0.909, 0.303], [0.161, 0.865, 0.690], [0.191, 0.695, 0.159], [0.214, 0.667, 0.880], [0.484, 0.486, 0.257], [0.516, 0.514, 0.743], [0.786, 0.333, 0.120], [0.809, 0.305, 0.841], [0.839, 0.135, 0.310], [0.844, 0.091, 0.697], [0.944, 0.768, 0.489], [0.004, 0.649, 0.212], [0.007, 0.795, 0.625], [0.030, 0.374, 0.514], [0.042, 0.603, 0.838], [0.043, 0.996, 0.727], [0.112, 0.815, 0.406], [0.194, 0.836, 0.182], [0.201, 0.688, 0.018], [0.215, 0.798, 0.817], [0.272, 0.164, 0.541], [0.311, 0.426, 0.312], [0.340, 0.509, 0.654], [0.341, 0.967, 0.332], [0.354, 0.875, 0.618], [0.403, 0.624, 0.209], [0.434, 0.587, 0.861], [0.566, 0.413, 0.139], [0.597, 0.376, 0.791], [0.646, 0.125, 0.382], [0.659, 0.033, 0.668], [0.660, 0.491, 0.346], [0.689, 0.574, 0.688], [0.728, 0.836, 0.459], [0.785, 0.202, 0.183], [0.799, 0.312, 0.982], [0.806, 0.164, 0.818], [0.888, 0.185, 0.594], [0.957, 0.004, 0.273], [0.958, 0.397, 0.162], [0.970, 0.626, 0.486], [0.993, 0.205, 0.375], [0.996, 0.351, 0.788], [0.256, 0.156, 0.005], [0.744, 0.844, 0.995]]
}

=====

(10)
{
  "formula": "LaGd3F",
  "functional": "GGA-PBE",
  "state": "relaxed",
  "energy_ev_per_atom": -10.728,
  "dos_at_fermi_per_ev_cell": 6.5,
  "mass_density_g_cm3": 7.60,
  "lattice_angstrom": [[5.162, 0.000, 0.000], [0.000, 5.162, 0.000], [0.000, 0.000, 5.162]],
  "species": ["La", "Gd", "Gd", "Gd", "F"],
  "frac_coords": [[0.000, 0.000, 0.000], [0.000, 0.500, 0.500], [0.500, 0.000, 0.500], [0.500, 0.500, 0.000], [0.500, 0.500, 0.500]]
}

=====

(11)
{
  "formula": "LaGdF",
  "functional": "GGA-PBE",
  "state": "relaxed",
  "energy_ev_per_atom": -8.520,
  "dos_at_fermi_per_ev_cell": 3.2,
  "mass_density_g_cm3": 6.92,
  "lattice_angstrom": [[3.881, 0.000, 0.000], [-1.940, 3.361, 0.000], [0.000, 0.000, 5.794]],
  "species": ["La", "Gd", "F"],
  "frac_coords": [[0.000, 0.000, 0.000], [0.333, 0.667, 0.492], [0.667, 0.333, 0.261]]
}

=====

(12)
{
  "formula": "Li5Gd3F12",
  "functional": "GGA-PBE",
  "state": "relaxed",
  "energy_ev_per_atom": -7.022,
  "dos_at_fermi_per_ev_cell": 50.1,
  "mass_density_g_cm3": 4.92,
  "lattice_angstrom": [[-6.282, 6.282, 6.282], [6.282, -6.282, 6.282], [6.282, 6.282, -6.282]],
  "species": ["Li", "Li", "Li", "Li", "Li", "Li", "Li", "Li", "Li", "Li", "Li", "Li", "Li", "Li", "Li", "Li", "Li", "Li", "Li", "Li", "Gd", "Gd", "Gd", "Gd", "Gd", "Gd", "Gd", "Gd", "Gd", "Gd", "Gd", "Gd", "F", "F", "F", "F", "F", "F", "F", "F", "F", "F", "F", "F", "F", "F", "F", "F", "F", "F", "F", "F", "F", "F", "F", "F", "F", "F", "F", "F", "F", "F", "F", "F", "F", "F", "F", "F", "F", "F", "F", "F", "F", "F", "F", "F", "F", "F", "F", "F"],
  "frac_coords": [[0.000, 0.000, 0.000], [0.000, 0.000, 0.500], [0.000, 0.500, 0.000], [0.000, 0.500, 0.500], [0.125, 0.750, 0.875], [0.125, 0.875, 0.250], [0.250, 0.125, 0.875], [0.250, 0.625, 0.375], [0.375, 0.250, 0.625], [0.375, 0.625, 0.750], [0.500, 0.000, 0.000], [0.500, 0.000, 0.500], [0.500, 0.500, 0.000], [0.500, 0.500, 0.500], [0.625, 0.375, 0.250], [0.625, 0.750, 0.375], [0.750, 0.375, 0.625], [0.750, 0.875, 0.125], [0.875, 0.125, 0.750], [0.875, 0.250, 0.125], [0.125, 0.250, 0.375], [0.125, 0.375, 0.750], [0.250, 0.375, 0.125], [0.250, 0.875, 0.625], [0.375, 0.125, 0.250], [0.375, 0.750, 0.125], [0.625, 0.250, 0.875], [0.625, 0.875, 0.750], [0.750, 0.125, 0.375], [0.750, 0.625, 0.875], [0.875, 0.625, 0.250], [0.875, 0.750, 0.625], [0.027, 0.211, 0.121], [0.027, 0.316, 0.905], [0.089, 0.711, 0.684], [0.089, 0.879, 0.405], [0.095, 0.621, 0.411], [0.095, 0.973, 0.684], [0.121, 0.027, 0.211], [0.121, 0.595, 0.911], [0.184, 0.211, 0.589], [0.184, 0.473, 0.595], [0.211, 0.121, 0.027], [0.211, 0.589, 0.184], [0.289, 0.316, 0.911], [0.289, 0.473, 0.379], [0.316, 0.905, 0.027], [0.316, 0.911, 0.289], [0.379, 0.289, 0.473], [0.379, 0.589, 0.905], [0.405, 0.089, 0.879], [0.405, 0.816, 0.527], [0.411, 0.095, 0.621], [0.411, 0.816, 0.789], [0.473, 0.379, 0.289], [0.473, 0.595, 0.184], [0.527, 0.405, 0.816], [0.527, 0.621, 0.711], [0.589, 0.184, 0.211], [0.589, 0.905, 0.379], [0.595, 0.184, 0.473], [0.595, 0.911, 0.121], [0.621, 0.411, 0.095], [0.621, 0.711, 0.527], [0.684, 0.089, 0.711], [0.684, 0.095, 0.973], [0.711, 0.527, 0.621], [0.711, 0.684, 0.089], [0.789, 0.411, 0.816], [0.789, 0.879, 0.973], [0.816, 0.527, 0.405], [0.816, 0.789, 0.411], [0.879, 0.405, 0.089], [0.879, 0.973, 0.789], [0.905, 0.027, 0.316], [0.905, 0.379, 0.589], [0.911, 0.121, 0.595], [0.911, 0.289, 0.316], [0.973, 0.684, 0.095], [0.973, 0.789, 0.879]]
}

=====

How do the records compare in calculated volume? In the order shown, they have 80, 71, 1616, 96, 112, 72, 103, 396, 918, 138, 76, 992 Å³/cell.